Compound: TaOs2Br
Source: Alexandria via LeMat-Bulk
Functional: GGA-PBEsol
Structure: optimized geometry

Lattice parameters (Å, degrees): 2.9184 4.5386 4.6874 90.00 90.00 90.00
Closest atoms and distances in Å follow each position.
Space group Pmmm (No. 47)
Asymmetric unit:
Ta1 0.0000 0.0000 0.0000 x1  4 Os 2.70, 4 Br 2.76, 2 Ta 2.92
Os1 0.0000 0.5000 0.5000 x1  4 Br 2.70, 6 Os 2.76-2.92
Os2 0.5000 0.5000 0.0000 x1  4 Ta 2.70, 6 Os 2.76-2.92
Br1 0.5000 0.0000 0.5000 x1  4 Os 2.70, 4 Ta 2.76, 2 Br 2.92

DOS at the Fermi energy in states/eV/atom: 0.622
Energy relative to the lowest polymorph listed for this composition in meV per atom: 130.4
Formation energy without anion corrections in eV per formula unit: 2.9
Magnetization in μB/f.u.: 0.00
Calculated volume in Å³ per atom: 15.522

Compound: TaOs2Br
Source: Alexandria via LeMat-Bulk
Functional: GGA-PBEsol
Structure: optimized geometry

Lattice parameters (Å, degrees): 3.8616 3.8616 8.4735 90.00 90.00 90.00
Closest atoms and distances in Å follow each position.
Space group I-4m2 (No. 119)
Asymmetric unit:
Ta1 0.0000 0.0000 0.0000 x2  8 Os 2.73-2.87, 4 Br 2.87
Os1 0.0000 0.0000 0.5000 x2  4 Ta 2.73, 4 Br 2.87, 4 Os 2.87
Os2 0.0000 0.5000 0.7500 x2  4 Br 2.73, 4 Ta 2.87, 4 Os 2.87
Br1 0.0000 0.5000 0.2500 x2  8 Os 2.73-2.87, 4 Ta 2.87

DOS at the Fermi energy in states/eV/atom: 1.002
Energy relative to the lowest polymorph listed for this composition in meV per atom: 440.6
Formation energy without anion corrections in eV per formula unit: 4.2
Magnetization in μB/f.u.: 0.00
Calculated volume in Å³ per atom: 15.795

Compound: TaOsBr2
Source: Alexandria via LeMat-Bulk
Functional: GGA-PBEsol
Structure: optimized geometry

Lattice parameters (Å, degrees): 2.9125 5.5012 9.0516 90.00 90.00 90.00
Closest atoms and distances in Å follow each position.
Space group Cmmm (No. 65)
Asymmetric unit:
Ta1 0.0000 0.0000 0.0000 x2  4 Br 2.69, 2 Ta 2.91
Os1 0.0000 0.0000 0.5000 x2  4 Br 2.70, 2 Os 2.91
Br1 0.0000 0.5000 0.2493 x4  2 Ta 2.69, 2 Os 2.70, 2 Br 2.91

DOS at the Fermi energy in states/eV/atom: 0.990
Energy relative to the lowest polymorph listed for this composition in meV per atom: 0.0
Formation energy without anion corrections in eV per formula unit: 4.2
Magnetization in μB/f.u.: 0.00
Calculated volume in Å³ per atom: 18.128